VASP calculation (GGA-PBE) on an optimized crystal structure of LiZnNi2.

Cell lengths 2.7169, 4.0874, 4.1983 Å; angles 90.00, 90.00, 90.00 degrees
Fractional coordinates of all 4 atoms:
1 Li 0.0000 0.0000 0.0000
2 Zn 0.5000 0.0000 0.5000
3 Ni 0.0000 0.5000 0.5000
4 Ni 0.5000 0.5000 0.0000

Output
total energy = -15.22 eV per cell
total magnetization = 0.00 Bohr magnetons per cell
ΔH_f (0 K) = -0.1168 eV/atom

VASP calculation (GGA-PBE) on an optimized crystal structure of LiZnNi.

Cell lengths 2.6181, 2.6181, 6.4610 Å; angles 90.00, 90.00, 120.00 degrees
Fractional coordinates of all 3 atoms:
1 Li 0.0000 0.0000 0.0000
2 Zn 0.3333 0.6667 0.6356
3 Ni 0.6667 0.3333 0.3166

Output
total energy = -9.17 eV per cell
total magnetization = 0.15 Bohr magnetons per cell
polymorph energy (0 for the lowest one) = 92 meV per atom
ΔH_f (0 K) = -0.0654 eV/atom

VASP calculation (GGA-PBE) on an optimized crystal structure of Li3Zn3Ni2.

Cell lengths 6.9840, 6.9840, 2.6310 Å; angles 90.00, 90.00, 120.00 degrees
Fractional coordinates of all 8 atoms:
1 Li 0.0000 0.7515 0.0000
2 Li 0.2485 0.2485 0.0000
3 Li 0.7515 0.0000 0.0000
4 Zn 0.0000 0.4062 0.5000
5 Zn 0.4062 0.0000 0.5000
6 Zn 0.5938 0.5938 0.5000
7 Ni 0.3333 0.6667 0.0000
8 Ni 0.6667 0.3333 0.0000

Output
total energy = -22.86 eV per cell
total magnetization = 0.00 Bohr magnetons per cell
polymorph energy (0 for the lowest one) = 0 meV per atom
ΔH_f (0 K) = -0.2164 eV/atom

VASP calculation (GGA-PBE) on an optimized crystal structure of Li2ZnNi3.

Cell lengths 4.7942, 4.7942, 7.9024 Å; angles 90.00, 90.00, 120.00 degrees
Fractional coordinates of all 12 atoms:
1 Li 0.3333 0.6667 0.0702
2 Li 0.3333 0.6667 0.4298
3 Li 0.6667 0.3333 0.5702
4 Li 0.6667 0.3333 0.9298
5 Zn 0.0000 0.0000 0.0000
6 Zn 0.0000 0.0000 0.5000
7 Ni 0.1700 0.3401 0.7500
8 Ni 0.1700 0.8300 0.7500
9 Ni 0.3401 0.1700 0.2500
10 Ni 0.6599 0.8300 0.7500
11 Ni 0.8300 0.1700 0.2500
12 Ni 0.8300 0.6599 0.2500

Output
total energy = -46.04 eV per cell
total magnetization = 0.01 Bohr magnetons per cell
polymorph energy (0 for the lowest one) = 5 meV per atom
ΔH_f (0 K) = -0.0957 eV/atom

VASP calculation (GGA-PBE) on an optimized crystal structure of LiZn2Ni.

Cell lengths 2.6255, 3.8408, 5.1709 Å; angles 90.00, 90.00, 90.00 degrees
Fractional coordinates of all 4 atoms:
1 Li 0.0000 0.0000 0.0000
2 Zn 0.0000 0.0000 0.4702
3 Zn 0.5000 0.5000 0.7550
4 Ni 0.5000 0.5000 0.2532

Output
total energy = -10.80 eV per cell
total magnetization = 0.00 Bohr magnetons per cell
polymorph energy (0 for the lowest one) = 106 meV per atom
ΔH_f (0 K) = -0.1384 eV/atom

VASP calculation (GGA-PBE) on an optimized crystal structure of LiZn5Ni3.

Cell lengths 7.3197, 7.3197, 5.0054 Å; angles 90.00, 90.00, 120.00 degrees
Fractional coordinates of all 18 atoms:
1 Li 0.0000 0.0000 0.0000
2 Li 0.0000 0.0000 0.5000
3 Zn 0.0000 0.3139 0.2500
4 Zn 0.0000 0.6861 0.7500
5 Zn 0.3139 0.0000 0.2500
6 Zn 0.3139 0.3139 0.7500
7 Zn 0.3333 0.6667 0.0000
8 Zn 0.3333 0.6667 0.5000
9 Zn 0.6667 0.3333 0.0000
10 Zn 0.6667 0.3333 0.5000
11 Zn 0.6861 0.0000 0.7500
12 Zn 0.6861 0.6861 0.2500
13 Ni 0.0000 0.3533 0.7500
14 Ni 0.0000 0.6467 0.2500
15 Ni 0.3533 0.0000 0.7500
16 Ni 0.3533 0.3533 0.2500
17 Ni 0.6467 0.0000 0.2500
18 Ni 0.6467 0.6467 0.7500

Output
total energy = -53.86 eV per cell
total magnetization = 0.00 Bohr magnetons per cell
ΔH_f (0 K) = -0.1447 eV/atom